(1)
Here is a geometry-optimized DyHoCuSi structure from the Alexandria database. Energies are from GGA-PBE.

E_form (uncorrected), kcal/mol of atoms: -9.96
Magnetic moment, μB/atom: 0.0000

The structure in POSCAR format:
```
DyHoCuSi
1.0
-0.4778 -4.8635 0.5439
3.2364 -3.0398 -2.1126
3.2066 -2.4905 2.7737
Si Ho Cu Dy
1 1 1 1
Direct
0.7500 0.7500 0.7500 Si
0.0000 0.0000 0.0000 Ho
0.2500 0.2500 0.2500 Cu
0.5000 0.5000 0.5000 Dy
```

---

(2)
Here is a geometry-optimized DyHoCuSi structure from the Alexandria database. Energies are from GGA-PBE.

E_form (uncorrected), kcal/mol of atoms: -12.38
Magnetic moment, μB/atom: 0.0000

The structure in POSCAR format:
```
DyHoCuSi
1.0
-3.5903 1.7511 0.6590
0.4590 -0.5669 4.0073
4.1818 3.8681 0.0683
Dy Ho Cu Si
1 1 1 1
Direct
0.8578 0.5000 0.7156 Dy
0.1381 0.0000 0.2761 Ho
0.4327 0.0000 0.8653 Cu
0.5715 0.5000 0.1430 Si
```

---

(3)
Here is a geometry-optimized Dy2HoCuTe5 structure from the Alexandria database. Energies are from GGA-PBE.

E_form (uncorrected), kcal/mol of atoms: -25.78
Magnetic moment, μB/atom: 0.0000

The structure in POSCAR format:
```
Dy2HoCuTe5
1.0
-1.2155 -3.1804 -2.5005
9.3588 -1.7958 1.3029
-2.8084 -7.0965 10.3912
Dy Ho Cu Te
4 2 2 10
Direct
0.8758 0.7516 0.8038 Dy
0.1091 0.2182 0.6839 Dy
0.1242 0.2484 0.3038 Dy
0.8909 0.7818 0.1839 Dy
0.8109 0.6218 0.5092 Ho
0.1891 0.3782 0.0092 Ho
0.5706 0.1411 0.9600 Cu
0.4294 0.8589 0.4600 Cu
0.3547 0.7094 0.9987 Te
0.6858 0.3717 0.8393 Te
0.4991 0.9982 0.7869 Te
0.2865 0.5729 0.6745 Te
0.9606 0.9212 0.5676 Te
0.6453 0.2906 0.4987 Te
0.3142 0.6283 0.3393 Te
0.5009 0.0018 0.2869 Te
0.7135 0.4271 0.1745 Te
0.0394 0.0788 0.0676 Te
```

---

(4)
Here is a geometry-optimized DyHoTlCu structure from the Alexandria database. Energies are from GGA-PBE.

Magnetic moment, μB/atom: 0.0000

The structure in POSCAR format:
```
DyHoTlCu
1.0
5.1651 0.0000 0.0000
2.5826 4.4731 0.0000
2.5826 1.4910 4.2173
Tl Ho Cu Dy
1 1 1 1
Direct
0.5000 0.5000 0.5000 Tl
0.2500 0.2500 0.2500 Ho
0.0000 0.0000 0.0000 Cu
0.7500 0.7500 0.7500 Dy
```

---

(5)
Here is a geometry-optimized Dy7CuI12 structure from the Alexandria database. Energies are from GGA-PBE.

E_form (uncorrected), kcal/mol of atoms: -26.34
Magnetic moment, μB/atom: 0.0001

The structure in POSCAR format:
```
Dy7CuI12
1.0
9.2696 -0.2016 -2.8232
-3.7564 8.4768 -2.8232
-0.1343 -0.2016 9.6891
Dy Cu I
7 1 12
Direct
0.9653 0.6941 0.8953 Dy
0.3059 0.1047 0.0347 Dy
0.1047 0.0347 0.3059 Dy
0.5000 0.5000 0.5000 Dy
0.8953 0.9653 0.6941 Dy
0.6941 0.8953 0.9653 Dy
0.0347 0.3059 0.1047 Dy
0.0000 0.0000 0.0000 Cu
0.9240 0.3182 0.7746 I
0.6818 0.2254 0.0760 I
0.4729 0.1562 0.3922 I
0.8438 0.6078 0.5271 I
0.2254 0.0760 0.6818 I
0.6078 0.5271 0.8438 I
0.3922 0.4729 0.1562 I
0.7746 0.9240 0.3182 I
0.1562 0.3922 0.4729 I
0.5271 0.8438 0.6078 I
0.3182 0.7746 0.9240 I
0.0760 0.6818 0.2254 I
```

---

(6)
Here is a geometry-optimized DyCuI4 structure from the Alexandria database. Energies are from GGA-PBE.

E_form (uncorrected), kcal/mol of atoms: -20.46
Magnetic moment, μB/atom: 0.0000

The structure in POSCAR format:
```
DyCuI4
1.0
4.1991 0.0000 0.0000
-2.0995 8.5088 0.7224
0.0000 -3.7424 6.5296
Dy Cu I
1 1 4
Direct
0.5000 0.0000 0.5000 Dy
0.0000 0.0000 0.0000 Cu
0.4027 0.8055 0.0577 I
0.1237 0.2475 0.4752 I
0.5973 0.1945 0.9423 I
0.8763 0.7525 0.5248 I
```

---

(7)
Here is a geometry-optimized DyCuI structure from the Alexandria database. Energies are from GGA-PBE.

E_form (uncorrected), kcal/mol of atoms: -14.84
Magnetic moment, μB/atom: 0.0000

The structure in POSCAR format:
```
DyCuI
1.0
-0.0344 -3.9939 1.3323
3.4142 -0.6462 -1.8490
6.8091 2.4519 7.5263
Cu I Dy
2 2 2
Direct
0.7500 0.4711 0.0578 Cu
0.2500 0.5289 0.9422 Cu
0.7500 0.3384 0.3233 I
0.2500 0.6616 0.6767 I
0.7500 0.0710 0.8579 Dy
0.2500 0.9290 0.1421 Dy
```

---

(8)
Here is a geometry-optimized Dy2CuI8 structure from the Alexandria database. Energies are from GGA-PBE.

E_form (uncorrected), kcal/mol of atoms: -19.73
Magnetic moment, μB/atom: 0.0921

The structure in POSCAR format:
```
Dy2CuI8
1.0
-6.5143 -3.9045 -2.4098
1.8895 -6.3461 6.1420
-3.8966 2.2685 7.8254
Dy Cu I
2 1 8
Direct
0.3355 0.2040 0.2040 Dy
0.6645 0.7960 0.7960 Dy
0.0000 0.0000 0.0000 Cu
0.8346 0.1033 0.7217 I
0.1654 0.2783 0.8967 I
0.6924 0.1935 0.1935 I
0.3076 0.8065 0.8065 I
0.8346 0.7217 0.1033 I
0.1654 0.8967 0.2783 I
0.2391 0.3863 0.3863 I
0.7609 0.6137 0.6137 I
```

---

(9)
Here is a geometry-optimized Dy4CuI5 structure from the Alexandria database. Energies are from GGA-PBE.

E_form (uncorrected), kcal/mol of atoms: -22.55
Magnetic moment, μB/atom: 0.0000

The structure in POSCAR format:
```
Dy4CuI5
1.0
4.0990 0.0000 0.0000
0.0000 8.8851 -0.3894
-2.0495 -1.6618 9.4168
Dy Cu I
4 1 5
Direct
0.3561 0.9264 0.7121 Dy
0.0001 0.7920 0.0003 Dy
0.6439 0.0736 0.2879 Dy
0.9999 0.2080 0.9997 Dy
0.5000 0.0000 0.0000 Cu
0.8325 0.6566 0.6650 I
0.8238 0.1730 0.6476 I
0.1762 0.8270 0.3524 I
0.5000 0.5000 0.0000 I
0.1675 0.3434 0.3350 I
```

---

(10)
Here is a geometry-optimized DyCu2I6 structure from the Alexandria database. Energies are from GGA-PBE.

E_form (uncorrected), kcal/mol of atoms: -15.03
Magnetic moment, μB/atom: 0.0000

The structure in POSCAR format:
```
DyCu2I6
1.0
-3.4674 -3.4793 -5.5122
-3.3949 -7.9591 5.6947
-9.5629 2.9183 2.7087
Dy Cu I
2 4 12
Direct
0.2500 0.0935 0.9065 Dy
0.7500 0.9065 0.0935 Dy
0.2003 0.5400 0.6973 Cu
0.2997 0.3027 0.4600 Cu
0.7997 0.4600 0.3027 Cu
0.7003 0.6973 0.5400 Cu
0.3579 0.7185 0.5342 I
0.1421 0.4658 0.2815 I
0.6421 0.2815 0.4658 I
0.8579 0.5342 0.7185 I
0.8727 0.8678 0.3724 I
0.6273 0.6276 0.1322 I
0.1273 0.1322 0.6276 I
0.3727 0.3724 0.8678 I
0.1138 0.8149 0.9664 I
0.3862 0.0336 0.1851 I
0.8862 0.1851 0.0336 I
0.6138 0.9664 0.8149 I
```

---

(11)
Here is a geometry-optimized Dy4Cu2I5 structure from the Alexandria database. Energies are from GGA-PBE.

E_form (uncorrected), kcal/mol of atoms: -17.71
Magnetic moment, μB/atom: 0.0000

The structure in POSCAR format:
```
Dy4Cu2I5
1.0
-3.7885 0.7372 -0.8250
-2.3709 -4.9902 6.4281
2.1494 9.0338 7.6432
Dy Cu I
4 2 5
Direct
0.6594 0.5567 0.3189 Dy
0.0226 0.6960 0.0452 Dy
0.3406 0.4433 0.6811 Dy
0.9774 0.3040 0.9548 Dy
0.5494 0.4731 0.0987 Cu
0.4506 0.5269 0.9013 Cu
0.1491 0.8344 0.2982 I
0.8509 0.1656 0.7018 I
0.2095 0.3144 0.4191 I
0.5000 0.0000 0.0000 I
0.7905 0.6856 0.5809 I
```

---

(12)
Here is a geometry-optimized DyCuI6 structure from the Alexandria database. Energies are from GGA-PBE.

E_form (uncorrected), kcal/mol of atoms: -14.09
Magnetic moment, μB/atom: 0.0000

The structure in POSCAR format:
```
DyCuI6
1.0
9.0393 2.1196 -0.9706
6.5006 7.8281 -1.0839
4.1681 2.6973 5.9646
Dy Cu I
1 1 6
Direct
0.5000 0.5000 0.5000 Dy
0.0000 0.0000 0.0000 Cu
0.1121 0.5298 0.6736 I
0.7283 0.0885 0.8611 I
0.6240 0.2258 0.2879 I
0.2717 0.9115 0.1389 I
0.8879 0.4702 0.3264 I
0.3760 0.7742 0.7121 I
```

---

Number 1: total energy -5.107 eV/atom. Number 2: total energy -5.212 eV/atom. Number 3: total energy -4.850 eV/atom. Number 4: total energy -4.159 eV/atom. Number 5: total energy -3.888 eV/atom. Number 6: total energy -3.370 eV/atom. Number 7: total energy -4.059 eV/atom. Number 8: total energy -3.192 eV/atom. Number 9: total energy -4.004 eV/atom. Number 10: total energy -3.107 eV/atom. Number 11: total energy -3.891 eV/atom. Number 12: total energy -2.861 eV/atom.